Entry 1:
A plane-wave DFT calculation with PBE was carried out for PrTiIr2 after structural relaxation.

Cell: 3.124 3.124 7.524 Å, 90.00 90.00 90.00°
Element x y z (fractional)
Pr 0.000 0.000 0.000
Ti 0.000 0.000 0.500
Ir 0.500 0.500 0.302
Ir 0.500 0.500 0.698

## Properties
Calculated volume ... 18.4 A^3/atom
Calculated formation energy ... -0.64 eV/atom

Entry 2:
A plane-wave DFT calculation with PBE was carried out for PrTiZnIr2 after structural relaxation.

Cell: 6.436 6.436 6.436 Å, 142.82 142.82 53.59°
Element x y z (fractional)
Pr 0.000 0.000 0.000
Ti 0.250 0.750 0.500
Zn 0.750 0.250 0.500
Ir 0.387 0.387 0.000
Ir 0.613 0.613 0.000

## Properties
Calculated volume ... 19.3 A^3/atom
Calculated formation energy ... -0.63 eV/atom

Entry 3:
A plane-wave DFT calculation with PBE was carried out for PrZrTiIr2 after structural relaxation.

Cell: 6.318 6.318 6.318 Å, 138.99 138.99 59.39°
Element x y z (fractional)
Pr 0.000 0.000 0.000
Zr 0.750 0.250 0.500
Ti 0.250 0.750 0.500
Ir 0.381 0.381 0.000
Ir 0.619 0.619 0.000

## Properties
Calculated volume ... 21.5 A^3/atom
Calculated formation energy ... -0.74 eV/atom

Entry 4:
A plane-wave DFT calculation with PBE was carried out for Pr8TlIr2 after structural relaxation.

Cell: 8.286 8.286 5.739 Å, 97.51 97.51 114.77°
Element x y z (fractional)
Pr 0.077 0.330 0.562
Pr 0.249 0.751 0.000
Pr 0.330 0.077 0.562
Pr 0.395 0.395 0.197
Pr 0.605 0.605 0.803
Pr 0.670 0.923 0.438
Pr 0.751 0.249 0.000
Pr 0.923 0.670 0.438
Tl 0.000 0.000 0.000
Ir 0.299 0.701 0.500
Ir 0.701 0.299 0.500

## Properties
Calculated volume ... 31.6 A^3/atom
Calculated formation energy ... -0.29 eV/atom